1.
# CsPaTe2Br PBE relaxed
data_CsPaTe2Br
_cell_length_a 4.4841
_cell_length_b 10.1756
_cell_length_c 10.2008
_cell_angle_alpha 104.73
_cell_angle_beta 90.00
_cell_angle_gamma 90.00
_symmetry_space_group_name_H-M 'P 1'
_symmetry_Int_Tables_number 1
_symmetry_space_group_name_Hall 'P 1'
loop_
_atom_site_label
_atom_site_fract_x
_atom_site_fract_y
_atom_site_fract_z
Pa1 0.2500 0.8500 0.8354
Pa2 0.7500 0.1500 0.1646
Te1 0.2500 0.1634 0.9560
Te2 0.2500 0.1228 0.3583
Te3 0.7500 0.8772 0.6417
Te4 0.7500 0.8366 0.0440
Cs1 0.2500 0.7274 0.3212
Cs2 0.7500 0.2726 0.6788
Br1 0.7500 0.4345 0.2502
Br2 0.2500 0.5655 0.7498
# - Formation energy without anion corrections: -1.173 eV/atom
# - DOS(E_F): 11.87 states/eV per cell
# - Spin magnetization: 1.002 μB/f.u.

---

2.
# CsPaZn2Br8 PBE relaxed
data_CsPaZn2Br8
_cell_length_a 6.9936
_cell_length_b 6.9936
_cell_length_c 11.4078
_cell_angle_alpha 72.15
_cell_angle_beta 72.15
_cell_angle_gamma 60.00
_symmetry_space_group_name_H-M 'P 1'
_symmetry_Int_Tables_number 1
_symmetry_space_group_name_Hall 'P 1'
loop_
_atom_site_label
_atom_site_fract_x
_atom_site_fract_y
_atom_site_fract_z
Br1 0.2848 0.9426 0.1623
Br2 0.6103 0.2848 0.1623
Br3 0.3897 0.7152 0.8377
Br4 0.8223 0.8223 0.5331
Br5 0.7152 0.0574 0.8377
Br6 0.1777 0.1777 0.4669
Br7 0.0574 0.3897 0.8377
Br8 0.9426 0.6103 0.1623
Pa1 0.0000 0.0000 0.0000
Zn1 0.2513 0.2513 0.2460
Zn2 0.7487 0.7487 0.7540
Cs1 0.5000 0.5000 0.5000
# - Formation energy without anion corrections: -1.141 eV/atom
# - DOS(E_F): 10.33 states/eV per cell
# - Spin magnetization: 2.009 μB/f.u.

---

3.
# CsPb2Br PBE relaxed
data_CsPb2Br
_cell_length_a 5.9673
_cell_length_b 5.9673
_cell_length_c 5.9673
_cell_angle_alpha 60.00
_cell_angle_beta 60.00
_cell_angle_gamma 60.00
_symmetry_space_group_name_H-M 'P 1'
_symmetry_Int_Tables_number 1
_symmetry_space_group_name_Hall 'P 1'
loop_
_atom_site_label
_atom_site_fract_x
_atom_site_fract_y
_atom_site_fract_z
Pb1 0.2500 0.2500 0.2500
Pb2 0.7500 0.7500 0.7500
Br1 0.0000 0.0000 0.0000
Cs1 0.5000 0.5000 0.5000
# - Formation energy without anion corrections: 0.116 eV/atom
# - DOS(E_F): 5.34 states/eV per cell
# - Spin magnetization: 0.000 μB/f.u.
# - Energy relative to the lowest polymorph listed for this composition: 54.4 kJ/mol of atoms

---

4.
# Cs3Pb2Br8 PBE relaxed
data_Cs3Pb2Br8
_cell_length_a 8.3955
_cell_length_b 8.3955
_cell_length_c 11.3751
_cell_angle_alpha 68.34
_cell_angle_beta 68.34
_cell_angle_gamma 60.00
_symmetry_space_group_name_H-M 'P 1'
_symmetry_Int_Tables_number 1
_symmetry_space_group_name_Hall 'P 1'
loop_
_atom_site_label
_atom_site_fract_x
_atom_site_fract_y
_atom_site_fract_z
Br1 0.1933 0.7482 0.3103
Br2 0.2518 0.8067 0.6897
Br3 0.7482 0.1933 0.3103
Br4 0.7482 0.7482 0.3103
Br5 0.6825 0.6825 0.9526
Br6 0.3175 0.3175 0.0474
Br7 0.8067 0.2518 0.6897
Br8 0.2518 0.2518 0.6897
Cs1 0.7967 0.7967 0.6098
Cs2 0.2033 0.2033 0.3902
Cs3 0.0000 0.0000 0.0000
Pb1 0.4083 0.4083 0.7750
Pb2 0.5917 0.5917 0.2250
# - Formation energy without anion corrections: -1.195 eV/atom
# - DOS(E_F): 9.36 states/eV per cell
# - Spin magnetization: 0.001 μB/f.u.

---

5.
# Cs2Pb2Br7 PBE relaxed
data_Cs2Pb2Br7
_cell_length_a 7.4172
_cell_length_b 8.4666
_cell_length_c 7.4172
_cell_angle_alpha 89.99
_cell_angle_beta 98.18
_cell_angle_gamma 90.01
_symmetry_space_group_name_H-M 'P 1'
_symmetry_Int_Tables_number 1
_symmetry_space_group_name_Hall 'P 1'
loop_
_atom_site_label
_atom_site_fract_x
_atom_site_fract_y
_atom_site_fract_z
Br1 0.4997 0.2300 0.0002
Br2 0.0000 0.0000 0.0000
Br3 0.5003 0.7700 0.9998
Br4 0.5002 0.7826 0.4998
Br5 0.0002 0.7700 0.4997
Br6 0.9998 0.2300 0.5003
Br7 0.4998 0.2174 0.5002
Pb1 0.2731 0.0000 0.7269
Pb2 0.7269 0.0000 0.2731
Cs1 0.7745 0.5000 0.7745
Cs2 0.2255 0.5000 0.2255
# - Formation energy without anion corrections: -1.066 eV/atom
# - DOS(E_F): 13.92 states/eV per cell
# - Spin magnetization: 0.000 μB/f.u.

---

6.
# Cs2PbBr PBE relaxed
data_Cs2PbBr
_cell_length_a 4.4628
_cell_length_b 4.4628
_cell_length_c 12.7634
_cell_angle_alpha 79.93
_cell_angle_beta 79.93
_cell_angle_gamma 60.00
_symmetry_space_group_name_H-M 'P 1'
_symmetry_Int_Tables_number 1
_symmetry_space_group_name_Hall 'P 1'
loop_
_atom_site_label
_atom_site_fract_x
_atom_site_fract_y
_atom_site_fract_z
Cs1 0.1016 0.1016 0.6951
Cs2 0.8984 0.8984 0.3049
Pb1 0.0000 0.0000 0.0000
Br1 0.5000 0.5000 0.5000
# - Formation energy without anion corrections: -0.574 eV/atom
# - DOS(E_F): 2.28 states/eV per cell
# - Spin magnetization: 0.367 μB/f.u.
# - Energy relative to the lowest polymorph listed for this composition: 0.3 kJ/mol of atoms

---

7.
# CsPbBr2 PBE relaxed
data_CsPbBr2
_cell_length_a 6.8043
_cell_length_b 6.8043
_cell_length_c 10.3820
_cell_angle_alpha 70.87
_cell_angle_beta 70.87
_cell_angle_gamma 90.00
_symmetry_space_group_name_H-M 'P 1'
_symmetry_Int_Tables_number 1
_symmetry_space_group_name_Hall 'P 1'
loop_
_atom_site_label
_atom_site_fract_x
_atom_site_fract_y
_atom_site_fract_z
Pb1 0.0000 0.0000 0.0000
Pb2 0.7500 0.2500 0.5000
Br1 0.6945 0.1250 0.2500
Br2 0.3750 0.3055 0.7500
Br3 0.0555 0.6250 0.2500
Br4 0.8750 0.9445 0.7500
Cs1 0.2500 0.7500 0.5000
Cs2 0.5000 0.5000 0.0000
# - Formation energy without anion corrections: -0.884 eV/atom
# - DOS(E_F): 1.78 states/eV per cell
# - Spin magnetization: 1.000 μB/f.u.
# - Energy relative to the lowest polymorph listed for this composition: 0.0 kJ/mol of atoms

---

8.
# Cs2Pb3Br8 PBE relaxed
data_Cs2Pb3Br8
_cell_length_a 7.9097
_cell_length_b 9.1496
_cell_length_c 9.8378
_cell_angle_alpha 117.71
_cell_angle_beta 106.24
_cell_angle_gamma 90.00
_symmetry_space_group_name_H-M 'P 1'
_symmetry_Int_Tables_number 1
_symmetry_space_group_name_Hall 'P 1'
loop_
_atom_site_label
_atom_site_fract_x
_atom_site_fract_y
_atom_site_fract_z
Br1 0.3918 0.3312 0.2064
Br2 0.9701 0.6116 0.2233
Br3 0.6082 0.6688 0.7936
Br4 0.1016 0.8981 0.7962
Br5 0.0299 0.3884 0.7767
Br6 0.3918 0.8752 0.2064
Br7 0.8984 0.1019 0.2038
Br8 0.6082 0.1248 0.7936
Pb1 0.5000 0.0000 0.0000
Pb2 0.0000 0.2586 0.0000
Pb3 0.0000 0.7414 0.0000
Cs1 0.3283 0.2680 0.5359
Cs2 0.6717 0.7320 0.4641
# - Formation energy without anion corrections: -1.214 eV/atom
# - DOS(E_F): 0.00 states/eV per cell
# - Spin magnetization: 0.000 μB/f.u.

---

9.
# CsPb5Br11 PBE relaxed
data_CsPb5Br11
_cell_length_a 8.0549
_cell_length_b 9.2583
_cell_length_c 9.2583
_cell_angle_alpha 99.57
_cell_angle_beta 102.64
_cell_angle_gamma 102.64
_symmetry_space_group_name_H-M 'P 1'
_symmetry_Int_Tables_number 1
_symmetry_space_group_name_Hall 'P 1'
loop_
_atom_site_label
_atom_site_fract_x
_atom_site_fract_y
_atom_site_fract_z
Br1 0.5000 0.0000 0.0000
Br2 0.3697 0.6773 0.6773
Br3 0.3058 0.3183 0.8727
Br4 0.3058 0.8727 0.3183
Br5 0.6942 0.1273 0.6817
Br6 0.0832 0.1870 0.4469
Br7 0.9168 0.5531 0.8130
Br8 0.9168 0.8130 0.5531
Br9 0.6303 0.3227 0.3227
Br10 0.6942 0.6817 0.1273
Br11 0.0832 0.4469 0.1870
Pb1 0.6988 0.3677 0.0151
Pb2 0.3012 0.6323 0.9849
Pb3 0.6988 0.0151 0.3677
Pb4 0.0000 0.5000 0.5000
Pb5 0.3012 0.9849 0.6323
Cs1 0.0000 0.0000 0.0000
# - Formation energy without anion corrections: -0.982 eV/atom
# - DOS(E_F): 0.00 states/eV per cell
# - Spin magnetization: 0.000 μB/f.u.